Record 1
The following is a PBE calculation of a relaxed structure of KCd2Co, from Alexandria.

Cell lengths 3.495, 3.211, 8.953 Å; angles 69.22, 90.00, 90.00 degrees
Fractional positions:
Cd1 0.000 0.922 0.077
Cd2 0.000 0.578 0.423
K1 0.500 0.750 0.750
Co1 0.500 0.250 0.250

As for the distance to the lowest polymorph of the same formula: 0.2 kJ per mole of atoms. The calculation puts the density of states at the Fermi level at 1.010 states/eV per atom.

=====

Record 2
The following is a PBE calculation of a relaxed structure of Ca2DyPuSe4, from Alexandria.

Cell lengths 4.144, 7.182, 7.255 Å; angles 109.28, 90.00, 90.00 degrees
Fractional positions:
Dy1 0.000 0.000 0.000
Se1 0.500 0.756 0.754
Se2 0.000 0.753 0.248
Se3 0.000 0.247 0.752
Se4 0.500 0.244 0.246
Pu1 0.500 0.500 0.000
Ca1 0.000 0.500 0.500
Ca2 0.500 0.000 0.500

The calculation puts the density of states at the Fermi level at 1.579 states/eV per atom. The uncorrected formation energy is -1803 meV/atom.